PBE Tc3SnN, relaxed; Fermi-level density of states = 5.718 states/eV per cell; energy relative to the elements, uncorrected = 4.72 kcal/mol of atoms; SG = C2/m
1.0
15.143 0.000 -1.578
5.892 1.515 -3.963
-5.892 1.515 3.963
N Sn Tc
2 2 6
direct
0.588 0.011 0.989
0.412 0.989 0.011
0.921 0.966 0.034
0.079 0.034 0.966
0.691 0.337 0.663
0.309 0.663 0.337
0.190 0.118 0.882
0.810 0.882 0.118
0.471 0.701 0.299
0.529 0.299 0.701